! PBE with a Hubbard U MnHg4F10, relaxed; values from VASP
&SYSTEM
  ibrav = 0, nat = 15, ntyp = 3
/
ATOMIC_SPECIES
F 19.00 F.upf
Mn 54.94 Mn.upf
Hg 200.59 Hg.upf
ATOMIC_POSITIONS crystal
F 0.250 0.500 0.500
F 0.048 0.094 0.288
F 0.952 0.906 0.712
F 0.336 0.712 0.094
F 0.664 0.288 0.906
F 0.750 0.500 0.500
F 0.142 0.288 0.906
F 0.430 0.906 0.712
F 0.858 0.712 0.094
F 0.570 0.094 0.288
Mn 0.000 0.000 0.000
Hg 0.601 0.196 0.602
Hg 0.797 0.602 0.804
Hg 0.203 0.398 0.196
Hg 0.399 0.804 0.398
CELL_PARAMETERS angstrom
5.078 0.000 2.293
2.539 6.227 1.146
-0.024 0.000 6.822
! - volume (Å³/atom) = 14.4
! - electronic total energy (eV per atom) = -3.487
! - space-group type = I4/m, No. 87